Record 1
{"formula": "RhSeBr2", "functional": "PBE", "state": "optimized geometry", "total_energy_ev_per_atom": -2.837, "formation_energy_uncorrected_mev_per_atom": 708.7, "m_tot_mub_per_fu": 0.00, "cell": [[-3.677, 1.204, 2.921], [2.470, -1.686, 3.815], [1.991, 3.338, -2.898]], "species": ["Br", "Br", "Se", "Rh"], "fractional_positions": [[0.250, 0.750, 0.500], [0.000, 0.000, 0.000], [0.750, 0.250, 0.500], [0.500, 0.500, 0.000]]}

---

Record 2
{"formula": "Hf2BiTeW", "functional": "PBE", "state": "optimized geometry", "total_energy_ev_per_atom": -5.802, "formation_energy_uncorrected_mev_per_atom": 2174.8, "m_tot_mub_per_fu": 2.37, "cell": [[5.358, 0.000, 0.000], [0.000, 5.358, 0.000], [0.000, 0.000, 5.642]], "species": ["W", "Bi", "Hf", "Hf", "Te"], "fractional_positions": [[0.500, 0.500, 0.500], [0.000, 0.000, 0.000], [0.000, 0.500, 0.000], [0.500, 0.000, 0.000], [0.000, 0.000, 0.500]]}

---

Record 3
{"formula": "Mn5Co2SiW2", "functional": "PBE", "state": "optimized geometry", "total_energy_ev_per_atom": -9.030, "formation_energy_uncorrected_mev_per_atom": 109.2, "m_tot_mub_per_fu": 0.02, "cell": [[-3.184, 1.607, -1.046], [-3.883, -7.025, 1.030], [-1.532, 1.976, 7.697]], "species": ["W", "W", "W", "W", "Mn", "Mn", "Mn", "Mn", "Mn", "Mn", "Mn", "Mn", "Mn", "Mn", "Co", "Co", "Co", "Co", "Si", "Si"], "fractional_positions": [[0.000, 0.835, 0.665], [0.000, 0.335, 0.835], [0.000, 0.165, 0.335], [0.000, 0.665, 0.165], [0.500, 0.433, 0.304], [0.500, 0.696, 0.433], [0.500, 0.933, 0.196], [0.500, 0.000, 0.500], [0.500, 0.067, 0.804], [0.500, 0.804, 0.933], [0.500, 0.304, 0.567], [0.500, 0.196, 0.067], [0.500, 0.567, 0.696], [0.500, 0.500, 0.000], [0.000, 0.130, 0.630], [0.000, 0.370, 0.130], [0.000, 0.630, 0.870], [0.000, 0.870, 0.370], [0.000, 0.500, 0.500], [0.000, 0.000, 0.000]]}

---

Please write out number 2 again, unchanged.
{"formula": "Hf2BiTeW", "functional": "PBE", "state": "optimized geometry", "total_energy_ev_per_atom": -5.802, "formation_energy_uncorrected_mev_per_atom": 2174.8, "m_tot_mub_per_fu": 2.37, "cell": [[5.358, 0.000, 0.000], [0.000, 5.358, 0.000], [0.000, 0.000, 5.642]], "species": ["W", "Bi", "Hf", "Hf", "Te"], "fractional_positions": [[0.500, 0.500, 0.500], [0.000, 0.000, 0.000], [0.000, 0.500, 0.000], [0.500, 0.000, 0.000], [0.000, 0.000, 0.500]]}

---

Q: Number 3 is which compound?
A: Mn5Co2SiW2